Record 1
Zr5Cu3 | Alexandria | PBE-GGA | relaxed; calculated density = 7118 kg/m³; polymorph energy (0 for the lowest one) = 125 meV per atom; ΔE_f = 0.001 eV per atom; symmetry = Cmmm, No. 65; total magnetization = 0.00 μB per cell
1.0
3.299 -4.721 0.000
3.299 4.721 0.000
0.000 0.000 4.844
Zr Cu
5 3
direct
0.000 0.000 0.000
0.500 0.000 0.000
0.000 0.500 0.000
0.736 0.736 0.500
0.264 0.264 0.500
0.500 0.500 0.000
0.761 0.239 0.500
0.239 0.761 0.500


Record 2
ZrCu2 | Alexandria | PBE-GGA | relaxed; calculated density = 7741 kg/m³; ΔE_f = -0.121 eV per atom; symmetry = Cmcm, No. 63; total magnetization = 0.00 μB per cell
1.0
4.632 0.000 0.000
0.000 4.702 0.000
0.000 -2.351 4.300
Cu Zr
4 2
direct
0.250 0.465 0.362
0.750 0.535 0.638
0.250 0.103 0.638
0.750 0.897 0.362
0.250 0.766 0.000
0.750 0.234 0.000


Record 3
Zr4Cu | Alexandria | PBE-GGA | relaxed; calculated density = 5918 kg/m³; polymorph energy (0 for the lowest one) = 554 meV per atom; ΔE_f = 0.519 eV per atom; symmetry = Pm-3m, No. 221; total magnetization = 0.87 μB per cell
1.0
4.936 0.000 0.000
0.000 4.936 0.000
0.000 0.000 4.936
Zr Cu
4 1
direct
0.000 0.000 0.000
0.500 0.000 0.500
0.000 0.500 0.500
0.500 0.500 0.000
0.500 0.500 0.500


Record 4
Zr3Cu11 | Alexandria | PBE-GGA | relaxed; calculated density = 7948 kg/m³; ΔE_f = -0.068 eV per atom; symmetry = Immm, No. 71; total magnetization = 0.00 μB per cell
1.0
-3.741 -0.386 -1.724
-0.466 -7.045 -2.377
-4.074 -4.012 4.775
Zr Cu
3 11
direct
0.000 0.000 0.000
0.293 0.707 0.707
0.707 0.293 0.293
0.662 0.698 0.977
0.871 0.410 0.849
0.662 0.977 0.698
0.500 0.326 0.674
0.129 0.151 0.590
0.000 0.500 0.500
0.871 0.849 0.410
0.500 0.674 0.326
0.338 0.023 0.302
0.129 0.590 0.151
0.338 0.302 0.023


Record 5
Zr2Cu | Alexandria | PBE-GGA | relaxed; calculated density = 6332 kg/m³; ΔE_f = 0.275 eV per atom; symmetry = Pa-3, No. 205; total magnetization = 0.00 μB per cell
1.0
-6.348 -0.344 -0.334
0.418 -6.148 -1.600
-0.236 -1.618 6.153
Cu Zr
4 8
direct
0.000 0.000 0.000
0.000 0.500 0.500
0.500 0.000 0.500
0.500 0.500 0.000
0.156 0.656 0.844
0.156 0.844 0.344
0.344 0.156 0.844
0.344 0.344 0.344
0.656 0.656 0.656
0.656 0.844 0.156
0.844 0.156 0.656
0.844 0.344 0.156


Record 6
ZrCu2 | Alexandria | PBE-GGA | relaxed; calculated density = 7600 kg/m³; ΔE_f = -0.087 eV per atom; symmetry = Pnma, No. 62; total magnetization = 0.00 μB per cell
1.0
-1.018 -3.916 -3.695
-1.968 -2.600 3.298
-6.653 3.139 -1.494
Cu Zr
8 4
direct
0.945 0.250 0.262
0.177 0.250 0.543
0.323 0.750 0.043
0.555 0.750 0.762
0.445 0.250 0.238
0.677 0.250 0.957
0.823 0.750 0.457
0.055 0.750 0.738
0.186 0.250 0.902
0.314 0.750 0.402
0.686 0.250 0.598
0.814 0.750 0.098


Record 7
Zr4Cu | Alexandria | PBE-GGA | relaxed; calculated density = 6011 kg/m³; polymorph energy (0 for the lowest one) = 626 meV per atom; ΔE_f = 0.591 eV per atom; symmetry = Im-3m, No. 229; total magnetization = 0.01 μB per cell
1.0
-3.093 3.093 3.093
3.093 -3.093 3.093
3.093 3.093 -3.093
Zr Cu
4 1
direct
0.500 0.000 0.000
0.500 0.500 0.500
0.000 0.500 0.000
0.000 0.000 0.500
0.000 0.000 0.000


Record 8
Zr14Cu51 | Alexandria | PBE-GGA | relaxed; calculated density = 8154 kg/m³; ΔE_f = -0.167 eV per atom; symmetry = P-6, No. 174; total magnetization = 0.00 μB per cell
1.0
11.294 0.000 0.000
-5.647 9.781 0.000
0.000 0.000 8.329
Zr Cu
14 51
direct
0.333 0.667 0.690
0.333 0.667 0.310
0.448 0.401 0.000
0.953 0.552 0.000
0.599 0.047 0.000
0.219 0.949 0.000
0.730 0.781 0.000
0.051 0.270 0.000
0.802 0.992 0.500
0.190 0.198 0.500
0.008 0.810 0.500
0.860 0.338 0.500
0.478 0.140 0.500
0.662 0.522 0.500
0.391 0.487 0.500
0.096 0.609 0.500
0.513 0.904 0.500
0.274 0.849 0.500
0.575 0.726 0.500
0.151 0.425 0.500
0.530 0.593 0.756
0.063 0.470 0.756
0.407 0.937 0.756
0.146 0.741 0.767
0.595 0.854 0.767
0.259 0.405 0.767
0.146 0.741 0.233
0.595 0.854 0.233
0.259 0.405 0.233
0.530 0.593 0.244
0.063 0.470 0.244
0.407 0.937 0.244
0.000 0.000 0.000
0.667 0.333 0.000
0.437 0.335 0.671
0.899 0.563 0.671
0.665 0.101 0.671
0.230 0.004 0.669
0.774 0.770 0.669
0.996 0.226 0.669
0.230 0.004 0.331
0.774 0.770 0.331
0.996 0.226 0.331
0.437 0.335 0.329
0.899 0.563 0.329
0.665 0.101 0.329
0.000 0.000 0.707
0.667 0.333 0.708
0.667 0.333 0.292
0.000 0.000 0.293
0.824 0.042 0.847
0.218 0.176 0.847
0.958 0.782 0.847
0.834 0.283 0.848
0.448 0.166 0.848
0.717 0.552 0.848
0.834 0.283 0.152
0.448 0.166 0.152
0.717 0.552 0.152
0.824 0.042 0.153
0.218 0.176 0.153
0.958 0.782 0.153
0.460 0.671 0.000
0.211 0.540 0.000
0.329 0.789 0.000


Q: Which of these has the highest calculated density?
A: Zr14Cu51